(a)
A plane-wave DFT calculation with PBE was carried out for a relaxed YErAgRh crystal.

Unit cell a=3.5038 b=3.5038 c=7.1326 alpha=90.00 beta=90.00 gamma=90.00
Space group P4mm (No. 99)
One atom of each set of equivalent atoms:
Y 0.0000 0.0000 0.0000 [1 per cell]
Er 0.0000 0.0000 0.5401 [1 per cell]
Ag 0.5000 0.5000 0.2754 [1 per cell]
Rh 0.5000 0.5000 0.7631 [1 per cell]

## Properties
Its volume is 21.891 Å³/atom. The density is 8.9 g/cm³. For the density of states at the Fermi level, the calculation gives 4.72 states/eV/f.u.

=====

(b)
A plane-wave DFT calculation with PBE was carried out for a relaxed YErAgRh crystal.

Unit cell a=7.0332 b=7.0332 c=7.0332 alpha=90.00 beta=90.00 gamma=90.00
Space group F-43m (No. 216)
One atom of each set of equivalent atoms:
Y 0.0000 0.0000 0.0000 [4 per cell]
Er 0.0000 0.0000 0.5000 [4 per cell]
Ag 0.2500 0.2500 0.2500 [4 per cell]
Rh 0.2500 0.2500 0.7500 [4 per cell]

## Properties
Its volume is 21.744 Å³/atom. The density is 8.9 g/cm³. For the density of states at the Fermi level, the calculation gives 3.60 states/eV/f.u.

=====

(a) (20 meV per atom below the next structure)

=====

(a)
A plane-wave DFT calculation with PBE was carried out for a relaxed Er8AgRu2 crystal.

Unit cell a=8.5853 b=12.6569 c=5.5356 alpha=90.00 beta=104.96 gamma=90.00
Space group Cm (No. 8)
One atom of each set of equivalent atoms:
Er 0.0000 0.0000 0.0000 [2 per cell]
Er 0.0793 0.3685 0.7851 [4 per cell]
Er 0.1801 0.1314 0.6066 [4 per cell]
Er 0.2585 0.5000 0.3912 [2 per cell]
Er 0.3797 0.2405 0.1958 [4 per cell]
Ag 0.3791 0.0000 0.1999 [2 per cell]
Ru 0.3796 0.3119 0.6956 [4 per cell]

## Properties
Its volume is 26.415 Å³/atom. The density is 9.4 g/cm³. For the density of states at the Fermi level, the calculation gives 9.81 states/eV/f.u.

=====

(b)
A plane-wave DFT calculation with PBE was carried out for a relaxed Er8AgRu2 crystal.

Unit cell a=17.4562 b=4.8487 c=6.9556 alpha=90.00 beta=107.94 gamma=90.00
Space group C2/m (No. 12)
One atom of each set of equivalent atoms:
Er 0.0356 0.0000 0.2733 [4 per cell]
Er 0.0976 0.5000 0.9726 [4 per cell]
Er 0.1737 0.5000 0.4645 [4 per cell]
Er 0.2021 0.0000 0.8175 [4 per cell]
Ag 0.0000 0.5000 0.5000 [2 per cell]
Ru 0.1872 0.0000 0.2036 [4 per cell]

## Properties
Its volume is 25.459 Å³/atom. The density is 9.8 g/cm³. For the density of states at the Fermi level, the calculation gives 11.92 states/eV/f.u.

=====

(b) (36 meV per atom below the next structure)

=====

(a)
A plane-wave DFT calculation with PBE was carried out for a relaxed Er3AgRu crystal.

Unit cell a=9.7673 b=5.8853 c=9.9884 alpha=90.00 beta=116.64 gamma=90.00
Space group P2_1/c (No. 14)
One atom of each set of equivalent atoms:
Er 0.1022 0.1291 0.2242 [4 per cell]
Er 0.3172 0.6231 0.4415 [4 per cell]
Er 0.3878 0.1015 0.6510 [4 per cell]
Ag 0.0988 0.6667 0.0953 [4 per cell]
Ru 0.4006 0.1735 0.3922 [4 per cell]

## Properties
Its volume is 25.662 Å³/atom. The density is 9.2 g/cm³. For the density of states at the Fermi level, the calculation gives 4.20 states/eV/f.u.

=====

(b)
A plane-wave DFT calculation with PBE was carried out for a relaxed Er3AgRu crystal.

Unit cell a=6.3624 b=9.7741 c=15.4486 alpha=90.00 beta=90.00 gamma=90.00
Space group Fmmm (No. 69)
One atom of each set of equivalent atoms:
Er 0.0000 0.0000 0.1927 [8 per cell]
Er 0.0000 0.1831 0.3899 [16 per cell]
Ag 0.2118 0.0000 0.0000 [8 per cell]
Ru 0.2500 0.2500 0.2500 [8 per cell]

## Properties
Its volume is 24.017 Å³/atom. The density is 9.8 g/cm³. For the density of states at the Fermi level, the calculation gives 3.79 states/eV/f.u.

=====

(b) (115 meV per atom below the next structure)

=====

(a)
A plane-wave DFT calculation with PBE was carried out for a relaxed Er8Ag2Ru crystal.

Unit cell a=17.1791 b=5.1792 c=6.7897 alpha=90.00 beta=108.30 gamma=90.00
Space group C2/m (No. 12)
One atom of each set of equivalent atoms:
Er 0.0272 0.0000 0.2934 [4 per cell]
Er 0.0909 0.5000 0.9301 [4 per cell]
Er 0.1598 0.5000 0.4662 [4 per cell]
Er 0.1975 0.0000 0.8018 [4 per cell]
Ag 0.1833 0.0000 0.2102 [4 per cell]
Ru 0.0000 0.5000 0.5000 [2 per cell]

## Properties
Its volume is 26.070 Å³/atom. The density is 9.6 g/cm³. For the density of states at the Fermi level, the calculation gives 9.09 states/eV/f.u.

=====

(b)
A plane-wave DFT calculation with PBE was carried out for a relaxed Er8Ag2Ru crystal.

Unit cell a=7.4885 b=15.7930 c=5.9511 alpha=90.00 beta=122.09 gamma=90.00
Space group Cm (No. 8)
One atom of each set of equivalent atoms:
Er 0.0000 0.0000 0.0000 [2 per cell]
Er 0.0030 0.1142 0.4820 [4 per cell]
Er 0.2273 0.3073 0.7811 [4 per cell]
Er 0.4556 0.0000 0.6336 [2 per cell]
Er 0.4604 0.1165 0.1153 [4 per cell]
Ag 0.2224 0.2173 0.2805 [4 per cell]
Ru 0.2263 0.5000 0.4786 [2 per cell]

## Properties
Its volume is 27.104 Å³/atom. The density is 9.2 g/cm³. For the density of states at the Fermi level, the calculation gives 11.59 states/eV/f.u.

=====

(a) (70 meV per atom below the next structure)

=====

(a)
A plane-wave DFT calculation with PBE was carried out for a relaxed TbErAgRu crystal.

Unit cell a=3.4115 b=3.4115 c=7.4999 alpha=90.00 beta=90.00 gamma=90.00
Space group P4mm (No. 99)
One atom of each set of equivalent atoms:
Tb 0.0000 0.0000 0.0000 [1 per cell]
Er 0.0000 0.0000 0.5558 [1 per cell]
Ag 0.5000 0.5000 0.2846 [1 per cell]
Ru 0.5000 0.5000 0.7739 [1 per cell]

## Properties
Its volume is 21.822 Å³/atom. The density is 10.2 g/cm³. For the density of states at the Fermi level, the calculation gives 2.59 states/eV/f.u.

=====

(b)
A plane-wave DFT calculation with PBE was carried out for a relaxed TbErAgRu crystal.

Unit cell a=6.9996 b=6.9996 c=6.9996 alpha=90.00 beta=90.00 gamma=90.00
Space group F-43m (No. 216)
One atom of each set of equivalent atoms:
Tb 0.0000 0.0000 0.0000 [4 per cell]
Er 0.0000 0.0000 0.5000 [4 per cell]
Ag 0.2500 0.2500 0.2500 [4 per cell]
Ru 0.2500 0.2500 0.7500 [4 per cell]

## Properties
Its volume is 21.433 Å³/atom. The density is 10.4 g/cm³. For the density of states at the Fermi level, the calculation gives 2.30 states/eV/f.u.

=====

(a) (63 meV per atom below the next structure)

=====

(a)
A plane-wave DFT calculation with PBE was carried out for a relaxed Er2AgS4 crystal.

Unit cell a=6.6044 b=5.2747 c=8.5352 alpha=90.00 beta=98.58 gamma=90.00
Space group P2_1/m (No. 11)
One atom of each set of equivalent atoms:
Er 0.1568 0.2500 0.3525 [2 per cell]
Er 0.2410 0.2500 0.9331 [2 per cell]
Ag 0.3439 0.7500 0.5735 [2 per cell]
S 0.0249 0.7500 0.3776 [2 per cell]
S 0.0921 0.7500 0.9078 [2 per cell]
S 0.4427 0.5092 0.2041 [4 per cell]

## Properties
Its volume is 21.001 Å³/atom. The density is 6.4 g/cm³. For the density of states at the Fermi level, the calculation gives 0.75 states/eV/f.u.

=====

(b)
A plane-wave DFT calculation with PBE was carried out for a relaxed Er2AgS4 crystal.

Unit cell a=11.1344 b=11.1464 c=11.1624 alpha=90.00 beta=90.00 gamma=90.00
Space group Fddd (No. 70, origin choice 2)
One atom of each set of equivalent atoms:
Er 0.0000 0.0000 0.0000 [16 per cell]
Ag 0.1250 0.1250 0.6250 [8 per cell]
S 0.0069 0.0072 0.2425 [32 per cell]

## Properties
Its volume is 24.738 Å³/atom. The density is 5.5 g/cm³. For the density of states at the Fermi level, the calculation gives 4.20 states/eV/f.u.

=====

(b) (70 meV per atom below the next structure)

=====

(a)
A plane-wave DFT calculation with PBE was carried out for a relaxed Er2AgS crystal.

Unit cell a=3.7494 b=3.7494 c=23.1658 alpha=90.00 beta=90.00 gamma=120.00
Space group R3m (No. 160, hexagonal axes)
One atom of each set of equivalent atoms:
Er 0.0000 0.0000 0.0000 [3 per cell]
Er 0.0000 0.0000 0.1570 [3 per cell]
Ag 0.0000 0.0000 0.5794 [3 per cell]
S 0.0000 0.0000 0.4102 [3 per cell]

## Properties
Its volume is 23.502 Å³/atom. The density is 8.4 g/cm³. For the density of states at the Fermi level, the calculation gives 3.02 states/eV/f.u.

=====

(b)
A plane-wave DFT calculation with PBE was carried out for a relaxed Er2AgS crystal.

Unit cell a=3.5723 b=3.5723 c=27.7523 alpha=90.00 beta=90.00 gamma=120.00
Space group R-3m (No. 166, hexagonal axes)
One atom of each set of equivalent atoms:
Er 0.0000 0.0000 0.1062 [6 per cell]
Ag 0.0000 0.0000 0.0000 [3 per cell]
S 0.0000 0.0000 0.5000 [3 per cell]

## Properties
Its volume is 25.559 Å³/atom. The density is 7.7 g/cm³. For the density of states at the Fermi level, the calculation gives 2.06 states/eV/f.u.

=====

(a) (314 meV per atom below the next structure)

=====

(a)
A plane-wave DFT calculation with PBE was carried out for a relaxed ErSc2Ag crystal.

Unit cell a=3.4017 b=3.4017 c=29.5644 alpha=90.00 beta=90.00 gamma=120.00
Space group R3m (No. 160, hexagonal axes)
One atom of each set of equivalent atoms:
Er 0.0000 0.0000 0.0000 [3 per cell]
Sc 0.0000 0.0000 0.2422 [3 per cell]
Sc 0.0000 0.0000 0.4257 [3 per cell]
Ag 0.0000 0.0000 0.8345 [3 per cell]

## Properties
Its volume is 24.690 Å³/atom. The density is 6.1 g/cm³. For the density of states at the Fermi level, the calculation gives 6.45 states/eV/f.u.

=====

(b)
A plane-wave DFT calculation with PBE was carried out for a relaxed ErSc2Ag crystal.

Unit cell a=3.4578 b=3.4578 c=8.0001 alpha=90.00 beta=90.00 gamma=90.00
Space group P4/mmm (No. 123)
One atom of each set of equivalent atoms:
Er 0.0000 0.0000 0.0000 [1 per cell]
Sc 0.5000 0.5000 0.2892 [2 per cell]
Ag 0.0000 0.0000 0.5000 [1 per cell]

## Properties
Its volume is 23.913 Å³/atom. The density is 6.3 g/cm³. For the density of states at the Fermi level, the calculation gives 6.54 states/eV/f.u.

=====

(b) (110 meV per atom below the next structure)

=====

(a)
A plane-wave DFT calculation with PBE was carried out for a relaxed Er4ScAg crystal.

Unit cell a=3.4723 b=3.4723 c=13.5538 alpha=90.00 beta=90.00 gamma=90.00
Space group P4/mmm (No. 123)
One atom of each set of equivalent atoms:
Er 0.0000 0.0000 0.1429 [2 per cell]
Er 0.5000 0.5000 0.3301 [2 per cell]
Sc 0.0000 0.0000 0.5000 [1 per cell]
Ag 0.5000 0.5000 0.0000 [1 per cell]

## Properties
Its volume is 27.237 Å³/atom. The density is 8.4 g/cm³. For the density of states at the Fermi level, the calculation gives 7.71 states/eV/f.u.

=====

(b)
A plane-wave DFT calculation with PBE was carried out for a relaxed Er4ScAg crystal.

Unit cell a=5.2099 b=20.8474 c=6.2551 alpha=90.00 beta=90.00 gamma=90.00
Space group Cmc2_1 (No. 36)
One atom of each set of equivalent atoms:
Er 0.0000 0.0337 0.0000 [4 per cell]
Er 0.0000 0.1733 0.8162 [4 per cell]
Er 0.0000 0.2409 0.3017 [4 per cell]
Er 0.0000 0.4306 0.1590 [4 per cell]
Sc 0.0000 0.3648 0.6528 [4 per cell]
Ag 0.0000 0.1039 0.4014 [4 per cell]

## Properties
Its volume is 28.308 Å³/atom. The density is 8.0 g/cm³. For the density of states at the Fermi level, the calculation gives 7.94 states/eV/f.u.

=====

(a) (134 meV per atom below the next structure)

=====

(a)
A plane-wave DFT calculation with PBE was carried out for a relaxed ErScAg crystal.

Unit cell a=11.0079 b=5.0282 c=6.1980 alpha=90.00 beta=123.37 gamma=90.00
Space group C2/m (No. 12)
One atom of each set of equivalent atoms:
Er 0.1692 0.0000 0.2605 [4 per cell]
Sc 0.0520 0.5000 0.8070 [4 per cell]
Ag 0.1509 0.0000 0.7206 [4 per cell]

## Properties
Its volume is 23.874 Å³/atom. The density is 7.4 g/cm³. For the density of states at the Fermi level, the calculation gives 3.79 states/eV/f.u.

=====

(b)
A plane-wave DFT calculation with PBE was carried out for a relaxed ErScAg crystal.

Unit cell a=4.5189 b=4.5189 c=7.2638 alpha=90.00 beta=90.00 gamma=90.00
Space group P4/nmm (No. 129, origin choice 2)
One atom of each set of equivalent atoms:
Er 0.2500 0.2500 0.1384 [2 per cell]
Sc 0.2500 0.7500 0.5000 [2 per cell]
Ag 0.2500 0.2500 0.7451 [2 per cell]

## Properties
Its volume is 24.722 Å³/atom. The density is 7.2 g/cm³. For the density of states at the Fermi level, the calculation gives 5.01 states/eV/f.u.

=====

(c)
A plane-wave DFT calculation with PBE was carried out for a relaxed ErScAg crystal.

Unit cell a=6.8594 b=6.8594 c=6.8594 alpha=90.00 beta=90.00 gamma=90.00
Space group F-43m (No. 216)
One atom of each set of equivalent atoms:
Er 0.0000 0.0000 0.0000 [4 per cell]
Sc 0.0000 0.0000 0.5000 [4 per cell]
Ag 0.2500 0.2500 0.7500 [4 per cell]

## Properties
Its volume is 26.896 Å³/atom. The density is 6.6 g/cm³. For the density of states at the Fermi level, the calculation gives 3.64 states/eV/f.u.

=====

(b) (13 meV per atom below the next structure)

=====

(a)
A plane-wave DFT calculation with PBE was carried out for a relaxed YErScAg crystal.

Unit cell a=7.4298 b=7.4298 c=7.4298 alpha=90.00 beta=90.00 gamma=90.00
Space group F-43m (No. 216)
One atom of each set of equivalent atoms:
Y 0.0000 0.0000 0.0000 [4 per cell]
Er 0.0000 0.0000 0.5000 [4 per cell]
Sc 0.2500 0.2500 0.2500 [4 per cell]
Ag 0.2500 0.2500 0.7500 [4 per cell]

## Properties
Its volume is 25.633 Å³/atom. The density is 6.6 g/cm³. For the density of states at the Fermi level, the calculation gives 4.32 states/eV/f.u.

=====

(b)
A plane-wave DFT calculation with PBE was carried out for a relaxed YErScAg crystal.

Unit cell a=3.5125 b=3.5125 c=8.4541 alpha=90.00 beta=90.00 gamma=90.00
Space group P4mm (No. 99)
One atom of each set of equivalent atoms:
Y 0.0000 0.0000 0.0000 [1 per cell]
Er 0.0000 0.0000 0.5436 [1 per cell]
Sc 0.5000 0.5000 0.2749 [1 per cell]
Ag 0.5000 0.5000 0.7649 [1 per cell]

## Properties
Its volume is 26.076 Å³/atom. The density is 6.5 g/cm³. For the density of states at the Fermi level, the calculation gives 6.32 states/eV/f.u.

=====

(b) (144 meV per atom below the next structure)

=====

(a)
A plane-wave DFT calculation with PBE was carried out for a relaxed Er2AgSe crystal.

Unit cell a=3.8718 b=3.8718 c=23.1629 alpha=90.00 beta=90.00 gamma=120.00
Space group R3m (No. 160, hexagonal axes)
One atom of each set of equivalent atoms:
Er 0.0000 0.0000 0.0000 [3 per cell]
Er 0.0000 0.0000 0.1655 [3 per cell]
Ag 0.0000 0.0000 0.5818 [3 per cell]
Se 0.0000 0.0000 0.7509 [3 per cell]

## Properties
Its volume is 25.059 Å³/atom. The density is 8.6 g/cm³. For the density of states at the Fermi level, the calculation gives 2.84 states/eV/f.u.

=====

(b)
A plane-wave DFT calculation with PBE was carried out for a relaxed Er2AgSe crystal.

Unit cell a=3.6565 b=3.6565 c=28.6851 alpha=90.00 beta=90.00 gamma=120.00
Space group R-3m (No. 166, hexagonal axes)
One atom of each set of equivalent atoms:
Er 0.0000 0.0000 0.1024 [6 per cell]
Ag 0.0000 0.0000 0.0000 [3 per cell]
Se 0.0000 0.0000 0.5000 [3 per cell]

## Properties
Its volume is 27.678 Å³/atom. The density is 7.8 g/cm³. For the density of states at the Fermi level, the calculation gives 2.45 states/eV/f.u.

=====

(a) (420 meV per atom below the next structure)